(1)
A plane-wave DFT calculation with PBE was carried out for an optimized crystal structure of Zr2TlCrBr.

As for the formation energy (no corrections): 1.20 eV/atom. As for the calculated density: 5.50 g cm⁻³. Its energy is -24.77 eV per cell.

Lattice parameters (Å, degrees): 5.5322 5.1207 5.5322 90.00 90.00 90.00
Atoms (fractional coordinates):
Zr1 0.0000 0.0000 0.5000
Zr2 0.5000 0.0000 0.0000
Br1 0.5000 0.5000 0.5000
Tl1 0.0000 0.0000 0.0000
Cr1 0.0000 0.5000 0.0000


(2)
A plane-wave DFT calculation with PBE was carried out for an optimized crystal structure of TmCrBr6.

As for the formation energy (no corrections): -1.20 eV/atom. As for the calculated density: 4.94 g cm⁻³. Its energy is -33.70 eV per cell.

Lattice parameters (Å, degrees): 6.7119 6.7118 7.1674 62.08 62.08 60.00
Atoms (fractional coordinates):
Br1 0.3892 0.7676 0.7600
Br2 0.2324 0.9168 0.2400
Br3 0.6108 0.2324 0.2400
Br4 0.7676 0.0832 0.7600
Br5 0.9168 0.6108 0.2400
Br6 0.0832 0.3892 0.7600
Tm1 0.5000 0.5000 0.5000
Cr1 0.0000 0.0000 0.0000